The following is a PBE-GGA calculation of Zr2CdP after structural relaxation, from the Alexandria database.

The structure in CIF format:
```
data_Zr2CdP
_cell_length_a 3.5009
_cell_length_b 3.5009
_cell_length_c 7.4470
_cell_angle_alpha 90.00
_cell_angle_beta 90.00
_cell_angle_gamma 90.00
_space_group_name_H-M_alt 'P 1'
_space_group_IT_number 1
_space_group_name_Hall 'P 1'
loop_
_atom_site_label
_atom_site_type_symbol
_atom_site_fract_x
_atom_site_fract_y
_atom_site_fract_z
_atom_site_occupancy
Zr1 Zr 0.0000 0.0000 0.9454 1
Zr2 Zr 0.5000 0.5000 0.2204 1
Cd1 Cd 0.0000 0.0000 0.4892 1
P1 P 0.5000 0.5000 0.8450 1
```

The formation energy comes out at -1.49 eV/f.u. As for the final energy: -24.914 eV for the cell shown. The value obtained for the magnetization is 0.000 μB per atom. Its energy above the lowest structure with this stoichiometry is 0.3593 eV per atom.